Record 1
Below is a relaxed Li2ZrAs2 crystal, with properties calculated at the GGA-PBE level.

* energy: -51.045 eV per cell
* ΔE_f: -770 meV/atom
* Fermi-level density of states: 2.15 states/eV per cell

Cell: 6.9647 3.9442 7.3415 Å, 90.00 111.16 90.00°
Positions (direct):
Li (0.2005, 0.0000, 0.1299)
Li (0.2995, 0.5000, 0.8701)
Li (0.7005, 0.5000, 0.1299)
Li (0.7995, 0.0000, 0.8701)
Zr (0.0000, 0.0000, 0.5000)
Zr (0.5000, 0.5000, 0.5000)
As (0.0817, 0.5000, 0.2717)
As (0.4183, 0.0000, 0.7283)
As (0.5817, 0.0000, 0.2717)
As (0.9183, 0.5000, 0.7283)

***

Record 2
Below is a relaxed SmSi2Tc3 crystal, with properties calculated at the GGA-PBE level.

* energy: -96.192 eV per cell
* Fermi-level density of states: 8.23 states/eV per cell
* ΔE_f (raw): -0.24 eV/atom

Cell: 7.7077 7.7077 7.7077 Å, 149.17 118.50 70.38°
Positions (direct):
Sm (0.1267, 0.1267, 0.0000)
Sm (0.8733, 0.8733, 0.0000)
Si (0.2016, 0.5000, 0.7016)
Si (0.3114, 0.8114, 0.5000)
Si (0.6886, 0.1886, 0.5000)
Si (0.7984, 0.5000, 0.2984)
Tc (0.1083, 0.3118, 0.7966)
Tc (0.3532, 0.0000, 0.3532)
Tc (0.4848, 0.6882, 0.7966)
Tc (0.5152, 0.3118, 0.2034)
Tc (0.6468, 0.0000, 0.6468)
Tc (0.8917, 0.6882, 0.2034)